# Tl2Te5P (SCAN, PBEsol geometry)
data_Tl2Te5P
_chemical_formula_sum 'Tl8 Te20 P4'
_cell_length_a 8.074
_cell_length_b 8.074
_cell_length_c 14.762
_cell_angle_alpha 90.00
_cell_angle_beta 90.00
_cell_angle_gamma 90.00
_symmetry_space_group_name_H-M 'P 4/m b m'
_symmetry_Int_Tables_number 127
_symmetry_space_group_name_Hall '-P 4 2ab'
loop_
_atom_site_label
_atom_site_fract_x
_atom_site_fract_y
_atom_site_fract_z
Tl1 0.000 0.000 0.120
Tl2 0.000 0.000 0.377
Te1 0.000 0.500 0.372
Te2 0.178 0.322 0.219
Te3 0.179 0.679 0.000
Te4 0.200 0.300 0.500
P1 0.000 0.500 0.116
# Total energy = -42.70 eV per atom

# Tl2TeP (SCAN, PBEsol geometry)
data_Tl2TeP
_chemical_formula_sum 'Tl4 Te2 P2'
_cell_length_a 3.540
_cell_length_b 5.692
_cell_length_c 10.425
_cell_angle_alpha 90.00
_cell_angle_beta 90.00
_cell_angle_gamma 90.00
_symmetry_space_group_name_H-M 'I m m 2'
_symmetry_Int_Tables_number 44
_symmetry_space_group_name_Hall 'I 2 -2'
loop_
_atom_site_label
_atom_site_fract_x
_atom_site_fract_y
_atom_site_fract_z
Tl1 0.000 0.000 0.000
Tl2 0.000 0.500 0.216
Te1 0.000 0.000 0.414
P1 0.000 0.500 0.730
# Total energy = -47.95 eV per atom

# Te2PW (SCAN, PBEsol geometry)
data_Te2PW
_chemical_formula_sum 'Te2 P1 W1'
_cell_length_a 3.260
_cell_length_b 3.260
_cell_length_c 7.686
_cell_angle_alpha 90.00
_cell_angle_beta 90.00
_cell_angle_gamma 90.00
_symmetry_space_group_name_H-M 'P 4 m m'
_symmetry_Int_Tables_number 99
_symmetry_space_group_name_Hall 'P 4 -2'
loop_
_atom_site_label
_atom_site_fract_x
_atom_site_fract_y
_atom_site_fract_z
Te1 0.000 0.000 0.000
Te2 0.500 0.500 0.389
P1 0.500 0.500 0.767
W1 0.000 0.000 0.625
# Total energy = -38.37 eV per atom

# Y2TeP (SCAN, PBEsol geometry)
data_Y2TeP
_chemical_formula_sum 'Y8 Te4 P4'
_cell_length_a 7.188
_cell_length_b 7.188
_cell_length_c 7.188
_cell_angle_alpha 90.00
_cell_angle_beta 90.00
_cell_angle_gamma 90.00
_symmetry_space_group_name_H-M 'F m -3 m'
_symmetry_Int_Tables_number 225
_symmetry_space_group_name_Hall '-F 4 2 3'
loop_
_atom_site_label
_atom_site_fract_x
_atom_site_fract_y
_atom_site_fract_z
Y1 0.250 0.250 0.250
Te1 0.000 0.000 0.000
P1 0.000 0.000 0.500
# Total energy = -27.02 eV per atom
# Energy above the lowest structure with this stoichiometry = 0.5871 eV per atom

# Y2TeP (SCAN, PBEsol geometry)
data_Y2TeP
_chemical_formula_sum 'Y4 Te2 P2'
_cell_length_a 4.601
_cell_length_b 5.509
_cell_length_c 7.426
_cell_angle_alpha 90.00
_cell_angle_beta 90.00
_cell_angle_gamma 90.00
_symmetry_space_group_name_H-M 'C m m m'
_symmetry_Int_Tables_number 65
_symmetry_space_group_name_Hall '-C 2 2'
loop_
_atom_site_label
_atom_site_fract_x
_atom_site_fract_y
_atom_site_fract_z
Y1 0.000 0.000 0.224
Te1 0.000 0.500 0.500
P1 0.000 0.500 0.000
# Total energy = -27.08 eV per atom
# Energy above the lowest structure with this stoichiometry = 0.5174 eV per atom

# Y2TeP (SCAN, PBEsol geometry)
data_Y2TeP
_chemical_formula_sum 'Y6 Te3 P3'
_cell_length_a 4.0197
_cell_length_b 4.0197
_cell_length_c 21.4496
_cell_angle_alpha 90.00
_cell_angle_beta 90.00
_cell_angle_gamma 120.00
_symmetry_space_group_name_H-M 'R 3 m'
_symmetry_Int_Tables_number 160
_symmetry_space_group_name_Hall 'R 3 -2"'
loop_
_atom_site_label
_atom_site_fract_x
_atom_site_fract_y
_atom_site_fract_z
Y1 0.0000 0.0000 0.0000
Y2 0.0000 0.0000 0.1933
Te1 0.0000 0.0000 0.4296
P1 0.0000 0.0000 0.5985
# Total energy = -27.56 eV per atom
# Energy above the lowest structure with this stoichiometry = 0.0375 eV per atom

# Y2TeP (SCAN, PBEsol geometry)
data_Y2TeP
_chemical_formula_sum 'Y4 Te2 P2'
_cell_length_a 7.194
_cell_length_b 7.295
_cell_length_c 3.610
_cell_angle_alpha 90.00
_cell_angle_beta 97.78
_cell_angle_gamma 90.00
_symmetry_space_group_name_H-M 'C 1 2/m 1'
_symmetry_Int_Tables_number 12
_symmetry_space_group_name_Hall '-C 2y'
loop_
_atom_site_label
_atom_site_fract_x
_atom_site_fract_y
_atom_site_fract_z
Y1 0.250 0.250 0.000
Te1 0.000 0.000 0.500
P1 0.000 0.500 0.500
# Total energy = -26.99 eV per atom
# Energy above the lowest structure with this stoichiometry = 0.6076 eV per atom

# Y2TeP (SCAN, PBEsol geometry)
data_Y2TeP
_chemical_formula_sum 'Y2 Te1 P1'
_cell_length_a 3.652
_cell_length_b 3.693
_cell_length_c 7.226
_cell_angle_alpha 90.00
_cell_angle_beta 100.69
_cell_angle_gamma 90.00
_symmetry_space_group_name_H-M 'P 1 2/m 1'
_symmetry_Int_Tables_number 10
_symmetry_space_group_name_Hall '-P 2y'
loop_
_atom_site_label
_atom_site_fract_x
_atom_site_fract_y
_atom_site_fract_z
Y1 0.092 0.000 0.274
Te1 0.500 0.500 0.000
P1 0.500 0.500 0.500
# Total energy = -27.14 eV per atom
# Energy above the lowest structure with this stoichiometry = 0.4589 eV per atom

# YTe2P (SCAN, PBEsol geometry)
data_YTe2P
_chemical_formula_sum 'Y4 Te8 P4'
_cell_length_a 7.274
_cell_length_b 7.274
_cell_length_c 7.274
_cell_angle_alpha 90.00
_cell_angle_beta 90.00
_cell_angle_gamma 90.00
_symmetry_space_group_name_H-M 'F -4 3 m'
_symmetry_Int_Tables_number 216
_symmetry_space_group_name_Hall 'F -4 2 3'
loop_
_atom_site_label
_atom_site_fract_x
_atom_site_fract_y
_atom_site_fract_z
Y1 0.000 0.000 0.000
Te1 0.000 0.000 0.500
Te2 0.250 0.250 0.750
P1 0.250 0.250 0.250
# Total energy = -28.36 eV per atom

# Y2TeP (SCAN, PBEsol geometry)
data_Y2TeP
_chemical_formula_sum 'Y6 Te3 P3'
_cell_length_a 4.0636
_cell_length_b 4.0636
_cell_length_c 20.9037
_cell_angle_alpha 90.00
_cell_angle_beta 90.00
_cell_angle_gamma 120.00
_symmetry_space_group_name_H-M 'R -3 m'
_symmetry_Int_Tables_number 166
_symmetry_space_group_name_Hall '-R 3 2"'
loop_
_atom_site_label
_atom_site_fract_x
_atom_site_fract_y
_atom_site_fract_z
Y1 0.0000 0.0000 0.2371
Te1 0.0000 0.0000 0.0000
P1 0.0000 0.0000 0.5000
# Total energy = -27.60 eV per atom
# Energy above the lowest structure with this stoichiometry = 0.0000 eV per atom

# YTe2P (SCAN, PBEsol geometry)
data_YTe2P
_chemical_formula_sum 'Y2 Te4 P2'
_cell_length_a 13.441
_cell_length_b 3.766
_cell_length_c 4.250
_cell_angle_alpha 90.00
_cell_angle_beta 91.54
_cell_angle_gamma 90.00
_symmetry_space_group_name_H-M 'C 1 2/m 1'
_symmetry_Int_Tables_number 12
_symmetry_space_group_name_Hall '-C 2y'
loop_
_atom_site_label
_atom_site_fract_x
_atom_site_fract_y
_atom_site_fract_z
Y1 0.000 0.000 0.000
Te1 0.179 0.500 0.795
P1 0.000 0.500 0.500
# Total energy = -28.85 eV per atom

# YTeP4 (SCAN, PBEsol geometry)
data_YTeP4
_chemical_formula_sum 'Y4 Te4 P16'
_cell_length_a 7.640
_cell_length_b 7.640
_cell_length_c 7.640
_cell_angle_alpha 90.00
_cell_angle_beta 90.00
_cell_angle_gamma 90.00
_symmetry_space_group_name_H-M 'F -4 3 m'
_symmetry_Int_Tables_number 216
_symmetry_space_group_name_Hall 'F -4 2 3'
loop_
_atom_site_label
_atom_site_fract_x
_atom_site_fract_y
_atom_site_fract_z
Y1 0.000 0.000 0.000
Te1 0.250 0.250 0.750
P1 0.110 0.110 0.390
# Total energy = -17.77 eV per atom

# Y3TeP (SCAN, PBEsol geometry)
data_Y3TeP
_chemical_formula_sum 'Y3 Te1 P1'
_cell_length_a 5.195
_cell_length_b 5.195
_cell_length_c 5.195
_cell_angle_alpha 90.00
_cell_angle_beta 90.00
_cell_angle_gamma 90.00
_symmetry_space_group_name_H-M 'P m -3 m'
_symmetry_Int_Tables_number 221
_symmetry_space_group_name_Hall '-P 4 2 3'
loop_
_atom_site_label
_atom_site_fract_x
_atom_site_fract_y
_atom_site_fract_z
Y1 0.000 0.000 0.500
Te1 0.500 0.500 0.500
P1 0.000 0.000 0.000
# Total energy = -27.06 eV per atom

# ZnTeP2 (SCAN, PBEsol geometry)
data_ZnTeP2
_chemical_formula_sum 'Zn1 Te1 P2'
_cell_length_a 3.389
_cell_length_b 4.535
_cell_length_c 4.632
_cell_angle_alpha 90.00
_cell_angle_beta 90.00
_cell_angle_gamma 90.00
_symmetry_space_group_name_H-M 'P m m m'
_symmetry_Int_Tables_number 47
_symmetry_space_group_name_Hall '-P 2 2'
loop_
_atom_site_label
_atom_site_fract_x
_atom_site_fract_y
_atom_site_fract_z
Zn1 0.000 0.000 0.000
Te1 0.500 0.500 0.000
P1 0.000 0.500 0.500
P2 0.500 0.000 0.500
# Total energy = -17.19 eV per atom
# Energy above the lowest structure with this stoichiometry = 0.6424 eV per atom

# ZnTeP2 (SCAN, PBEsol geometry)
data_ZnTeP2
_chemical_formula_sum 'Zn2 Te2 P4'
_cell_length_a 10.834
_cell_length_b 3.222
_cell_length_c 5.110
_cell_angle_alpha 90.00
_cell_angle_beta 109.61
_cell_angle_gamma 90.00
_symmetry_space_group_name_H-M 'C 1 2/m 1'
_symmetry_Int_Tables_number 12
_symmetry_space_group_name_Hall '-C 2y'
loop_
_atom_site_label
_atom_site_fract_x
_atom_site_fract_y
_atom_site_fract_z
Zn1 0.000 0.000 0.000
Te1 0.000 0.500 0.500
P1 0.235 0.000 0.134
# Total energy = -17.83 eV per atom
# Energy above the lowest structure with this stoichiometry = 0.0000 eV per atom

# Zr2Te2P (SCAN, PBEsol geometry)
data_Zr2Te2P
_chemical_formula_sum 'Zr6 Te6 P3'
_cell_length_a 3.7792
_cell_length_b 3.7792
_cell_length_c 28.8177
_cell_angle_alpha 90.00
_cell_angle_beta 90.00
_cell_angle_gamma 120.00
_symmetry_space_group_name_H-M 'R -3 m'
_symmetry_Int_Tables_number 166
_symmetry_space_group_name_Hall '-R 3 2"'
loop_
_atom_site_label
_atom_site_fract_x
_atom_site_fract_y
_atom_site_fract_z
Zr1 0.0000 0.0000 0.1172
Te1 0.0000 0.0000 0.2819
P1 0.0000 0.0000 0.5000
# Total energy = -30.47 eV per atom

# ZrTeP4 (SCAN, PBEsol geometry)
data_ZrTeP4
_chemical_formula_sum 'Zr4 Te4 P16'
_cell_length_a 7.369
_cell_length_b 7.369
_cell_length_c 7.369
_cell_angle_alpha 90.00
_cell_angle_beta 90.00
_cell_angle_gamma 90.00
_symmetry_space_group_name_H-M 'F -4 3 m'
_symmetry_Int_Tables_number 216
_symmetry_space_group_name_Hall 'F -4 2 3'
loop_
_atom_site_label
_atom_site_fract_x
_atom_site_fract_y
_atom_site_fract_z
Zr1 0.000 0.000 0.000
Te1 0.250 0.250 0.750
P1 0.128 0.128 0.372
# Total energy = -17.95 eV per atom

# Zr6Te2P (SCAN, PBEsol geometry)
data_Zr6Te2P
_chemical_formula_sum 'Zr6 Te2 P1'
_cell_length_a 7.5634
_cell_length_b 7.5634
_cell_length_c 3.7112
_cell_angle_alpha 90.00
_cell_angle_beta 90.00
_cell_angle_gamma 120.00
_symmetry_space_group_name_H-M 'P -6 2 m'
_symmetry_Int_Tables_number 189
_symmetry_space_group_name_Hall 'P -6 -2'
loop_
_atom_site_label
_atom_site_fract_x
_atom_site_fract_y
_atom_site_fract_z
Zr1 0.0000 0.3836 0.0000
Zr2 0.0000 0.7552 0.5000
Te1 0.3333 0.6667 0.5000
P1 0.0000 0.0000 0.0000
# Total energy = -30.74 eV per atom

# ThP2 (SCAN, PBEsol geometry)
data_ThP2
_chemical_formula_sum 'Th4 P8'
_cell_length_a 7.095
_cell_length_b 3.805
_cell_length_c 9.366
_cell_angle_alpha 90.00
_cell_angle_beta 90.00
_cell_angle_gamma 90.00
_symmetry_space_group_name_H-M 'P n m a'
_symmetry_Int_Tables_number 62
_symmetry_space_group_name_Hall '-P 2ac 2n'
loop_
_atom_site_label
_atom_site_fract_x
_atom_site_fract_y
_atom_site_fract_z
Th1 0.198 0.250 0.151
P1 0.087 0.250 0.460
P2 0.111 0.250 0.839
# Energy of formation = -1144 meV per atom
# Total energy = -40.05 eV per atom

# Th3P4 (SCAN, PBEsol geometry)
data_Th3P4
_chemical_formula_sum 'Th12 P16'
_cell_length_a 8.552
_cell_length_b 8.552
_cell_length_c 8.552
_cell_angle_alpha 90.00
_cell_angle_beta 90.00
_cell_angle_gamma 90.00
_symmetry_space_group_name_H-M 'I -4 3 d'
_symmetry_Int_Tables_number 220
_symmetry_space_group_name_Hall 'I -4bd 2c 3'
loop_
_atom_site_label
_atom_site_fract_x
_atom_site_fract_y
_atom_site_fract_z
Th1 0.000 0.250 0.375
P1 0.080 0.080 0.080
# Energy of formation = -1510 meV per atom
# Total energy = -48.56 eV per atom